No. 1
A plane-wave DFT calculation with GGA-PBE was carried out for crystalline Ca2ZnSi at its relaxed geometry.

Geometry as POSCAR:
```
Ca2ZnSi
1.0
-1.280 -4.298 -2.321
4.603 -1.864 0.913
-1.405 -6.618 7.537
Zn Si Ca
2 2 4
Direct
0.750 0.250 0.500
0.000 0.000 0.000
0.250 0.750 0.500
0.500 0.500 0.000
0.136 0.625 0.250
0.614 0.125 0.250
0.875 0.864 0.750
0.375 0.386 0.750
```

Summary:
Energy above the most stable polymorph in this dataset (meV/atom): 680
DOS at the Fermi energy (states/eV/cell): 8.56

***

No. 2
A plane-wave DFT calculation with GGA-PBE was carried out for crystalline Nd4Se2SCl at its relaxed geometry.

Geometry as POSCAR:
```
Nd4Se2SCl
1.0
-1.482 2.503 -3.018
0.785 -5.312 -4.790
-6.041 -3.925 -0.288
Nd Se S Cl
4 2 1 1
Direct
0.000 0.250 0.270
0.500 0.736 0.273
0.000 0.750 0.730
0.500 0.264 0.727
0.000 0.000 0.000
0.500 0.000 0.500
0.000 0.500 0.500
0.500 0.500 0.000
```

Summary:
DOS at the Fermi energy (states/eV/cell): 3.56
E_tot (eV per formula unit): -46.1

***

No. 3
A plane-wave DFT calculation with GGA-PBE was carried out for crystalline PmNdGaCo at its relaxed geometry.

Geometry as POSCAR:
```
PmNdGaCo
1.0
-0.451 -1.938 -3.475
-2.096 -3.168 2.039
-4.566 3.596 0.895
Co Pm Ga Nd
1 1 1 1
Direct
0.443 0.000 0.886
0.858 0.500 0.717
0.561 0.500 0.123
0.137 0.000 0.274
```

Summary:
Energy above the most stable polymorph in this dataset (meV/atom): 0
DOS at the Fermi energy (states/eV/cell): 4.17
DFT formation energy (eV/atom): -0.300

***

M_tot for the records above, in order: 0.00; 0.00; 0.00 μB per formula unit